Density functional theory data (GGA-PBE) for crystalline ReIrOsRh at its relaxed geometry.

## Properties
Space-group type: Amm2, No. 38
Energy of formation in eV/atom: 0.045
Total magnetization in μB per cell: 0.000
DFT total energy in eV/cell: -39.71

The structure in extended XYZ format:
```
4
Lattice="2.6996 0.0000 -0.0030 0.0000 4.2382 0.0000 -1.3435 0.0000 5.0953" Properties=species:S:1:pos:R:3 pbc="T T T"
Os -1.2517 2.1191 4.8159
Rh 1.4438 0.0000 0.7020
Re 0.0985 0.0000 3.2116
Ir 1.4457 2.1191 2.1656
```